--- a ---
{"formula": "ZrIn2Re", "functional": "PBE", "state": "optimized geometry", "space_group": "F-43m", "total_magnetization_mub_per_cell": 0.00, "crystal_system": "cubic", "n_ef_per_ev_atom": 0.979, "cell": [[0.000, 3.404, 3.404], [3.404, 0.000, 3.404], [3.404, 3.404, 0.000]], "species": ["Zr", "In", "In", "Re"], "fractional_positions": [[0.000, 0.000, 0.000], [0.500, 0.500, 0.500], [0.750, 0.750, 0.750], [0.250, 0.250, 0.250]]}

--- b ---
{"formula": "ZrIn2Re", "functional": "PBE", "state": "optimized geometry", "space_group": "C2/m", "total_magnetization_mub_per_cell": 0.00, "crystal_system": "monoclinic", "n_ef_per_ev_atom": 0.751, "cell": [[4.960, -1.733, 0.000], [4.960, 1.733, 0.000], [-1.383, 0.000, 4.661]], "species": ["Zr", "In", "In", "Re"], "fractional_positions": [[0.000, 0.000, 0.000], [0.237, 0.237, 0.730], [0.763, 0.763, 0.270], [0.500, 0.500, 0.500]]}

--- c ---
{"formula": "ZrIn2Re", "functional": "PBE", "state": "optimized geometry", "space_group": "R-3m", "total_magnetization_mub_per_cell": 0.12, "crystal_system": "trigonal", "n_ef_per_ev_atom": 1.297, "cell": [[1.547, 0.893, 9.708], [-1.547, 0.893, 9.708], [0.000, -1.786, 9.708]], "species": ["Zr", "In", "In", "Re"], "fractional_positions": [[0.000, 0.000, 0.000], [0.244, 0.244, 0.244], [0.756, 0.756, 0.756], [0.500, 0.500, 0.500]]}

--- d ---
{"formula": "ZrIn2Re", "functional": "PBE", "state": "optimized geometry", "space_group": "Cmmm", "total_magnetization_mub_per_cell": 0.15, "crystal_system": "orthorhombic", "n_ef_per_ev_atom": 0.900, "cell": [[1.636, -2.537, 0.000], [1.636, 2.537, 0.000], [0.000, 0.000, 9.733]], "species": ["Zr", "In", "In", "Re"], "fractional_positions": [[0.000, 0.000, 0.000], [0.500, 0.500, 0.266], [0.500, 0.500, 0.734], [0.000, 0.000, 0.500]]}

Which one sits at the top of the stability order? b does.

--- a ---
{"formula": "ZrIn2Re", "functional": "PBE", "state": "optimized geometry", "space_group": "P4/mmm", "total_magnetization_mub_per_cell": 0.32, "crystal_system": "tetragonal", "n_ef_per_ev_atom": 1.020, "cell": [[4.171, 0.000, 0.000], [0.000, 4.171, 0.000], [0.000, 0.000, 4.532]], "species": ["Zr", "In", "In", "Re"], "fractional_positions": [[0.000, 0.000, 0.000], [0.000, 0.500, 0.500], [0.500, 0.000, 0.500], [0.500, 0.500, 0.000]]}

--- b ---
{"formula": "ZrIn2Re", "functional": "PBE", "state": "optimized geometry", "space_group": "C2/m", "total_magnetization_mub_per_cell": 0.00, "crystal_system": "monoclinic", "n_ef_per_ev_atom": 0.612, "cell": [[2.934, -4.733, 0.000], [2.934, 4.733, 0.000], [-0.755, 0.000, 2.846]], "species": ["Zr", "In", "In", "Re"], "fractional_positions": [[0.000, 0.000, 0.000], [0.000, 0.500, 0.500], [0.500, 0.000, 0.500], [0.500, 0.500, 0.000]]}

Which one sits at the top of the stability order? a does.

--- a ---
{"formula": "In3Rh5", "functional": "PBE", "state": "optimized geometry", "space_group": "Cmmm", "total_magnetization_mub_per_cell": 0.00, "crystal_system": "orthorhombic", "n_ef_per_ev_atom": 0.696, "cell": [[3.512, -4.305, 0.000], [3.512, 4.305, 0.000], [0.000, 0.000, 4.316]], "species": ["In", "In", "In", "Rh", "Rh", "Rh", "Rh", "Rh"], "fractional_positions": [[0.000, 0.000, 0.000], [0.273, 0.727, 0.500], [0.727, 0.273, 0.500], [0.000, 0.500, 0.000], [0.232, 0.232, 0.500], [0.500, 0.000, 0.000], [0.500, 0.500, 0.000], [0.768, 0.768, 0.500]]}

--- b ---
{"formula": "In3Rh5", "functional": "PBE", "state": "optimized geometry", "space_group": "P6_3/mcm", "total_magnetization_mub_per_cell": 2.20, "crystal_system": "hexagonal", "n_ef_per_ev_atom": 1.487, "cell": [[7.664, 0.000, 0.000], [-3.832, 6.637, 0.000], [0.000, 0.000, 5.387]], "species": ["In", "In", "In", "In", "In", "In", "Rh", "Rh", "Rh", "Rh", "Rh", "Rh", "Rh", "Rh", "Rh", "Rh"], "fractional_positions": [[0.000, 0.402, 0.250], [0.000, 0.598, 0.750], [0.402, 0.000, 0.250], [0.402, 0.402, 0.750], [0.598, 0.000, 0.750], [0.598, 0.598, 0.250], [0.000, 0.213, 0.750], [0.000, 0.787, 0.250], [0.213, 0.000, 0.750], [0.213, 0.213, 0.250], [0.333, 0.667, 0.000], [0.333, 0.667, 0.500], [0.667, 0.333, 0.000], [0.667, 0.333, 0.500], [0.787, 0.000, 0.250], [0.787, 0.787, 0.750]]}

Which one sits at the top of the stability order? a does.

--- a ---
{"formula": "TmInRuRh", "functional": "PBE", "state": "optimized geometry", "space_group": "Pmmm", "total_magnetization_mub_per_cell": 0.00, "crystal_system": "orthorhombic", "n_ef_per_ev_atom": 0.619, "cell": [[3.418, 0.000, 0.000], [0.000, 4.540, 0.000], [0.000, 0.000, 4.578]], "species": ["Tm", "In", "Ru", "Rh"], "fractional_positions": [[0.000, 0.000, 0.000], [0.000, 0.500, 0.500], [0.500, 0.000, 0.500], [0.500, 0.500, 0.000]]}

--- b ---
{"formula": "TmInRuRh", "functional": "PBE", "state": "optimized geometry", "space_group": "F-43m", "total_magnetization_mub_per_cell": 0.00, "crystal_system": "cubic", "n_ef_per_ev_atom": 0.831, "cell": [[0.000, 3.293, 3.293], [3.293, 0.000, 3.293], [3.293, 3.293, 0.000]], "species": ["Tm", "In", "Ru", "Rh"], "fractional_positions": [[0.000, 0.000, 0.000], [0.500, 0.500, 0.500], [0.250, 0.250, 0.250], [0.750, 0.750, 0.750]]}

Which one sits at the top of the stability order? a does.

--- a ---
{"formula": "InSb2TeRh", "functional": "PBE", "state": "optimized geometry", "space_group": "P4/mmm", "total_magnetization_mub_per_cell": 0.43, "crystal_system": "tetragonal", "n_ef_per_ev_atom": 1.146, "cell": [[5.476, 0.000, 0.000], [0.000, 5.476, 0.000], [0.000, 0.000, 5.566]], "species": ["In", "Sb", "Sb", "Te", "Rh"], "fractional_positions": [[0.000, 0.000, 0.000], [0.000, 0.500, 0.000], [0.500, 0.000, 0.000], [0.000, 0.000, 0.500], [0.500, 0.500, 0.500]]}

--- b ---
{"formula": "InSb2TeRh", "functional": "PBE", "state": "optimized geometry", "space_group": "P4/mmm", "total_magnetization_mub_per_cell": 0.00, "crystal_system": "tetragonal", "n_ef_per_ev_atom": 0.880, "cell": [[5.061, 0.000, 0.000], [0.000, 5.061, 0.000], [0.000, 0.000, 5.784]], "species": ["In", "Sb", "Sb", "Te", "Rh"], "fractional_positions": [[0.000, 0.000, 0.000], [0.000, 0.500, 0.500], [0.500, 0.000, 0.500], [0.500, 0.500, 0.000], [0.500, 0.500, 0.500]]}

Which one sits at the top of the stability order? b does.

--- a ---
{"formula": "ScIn3Rh", "functional": "PBE", "state": "optimized geometry", "space_group": "Pm-3m", "total_magnetization_mub_per_cell": 0.16, "crystal_system": "cubic", "n_ef_per_ev_atom": 1.752, "cell": [[5.396, 0.000, 0.000], [0.000, 5.396, 0.000], [0.000, 0.000, 5.396]], "species": ["Sc", "In", "In", "In", "Rh"], "fractional_positions": [[0.000, 0.000, 0.000], [0.000, 0.000, 0.500], [0.000, 0.500, 0.000], [0.500, 0.000, 0.000], [0.500, 0.500, 0.500]]}

--- b ---
{"formula": "ScIn3Rh", "functional": "PBE", "state": "optimized geometry", "space_group": "Pm-3m", "total_magnetization_mub_per_cell": 0.00, "crystal_system": "cubic", "n_ef_per_ev_atom": 0.806, "cell": [[5.052, 0.000, 0.000], [0.000, 5.052, 0.000], [0.000, 0.000, 5.052]], "species": ["Sc", "In", "In", "In", "Rh"], "fractional_positions": [[0.000, 0.000, 0.000], [0.000, 0.500, 0.500], [0.500, 0.000, 0.500], [0.500, 0.500, 0.000], [0.500, 0.500, 0.500]]}

Which one sits at the top of the stability order? b does.

--- a ---
{"formula": "Sc2In2Rh", "functional": "PBE", "state": "optimized geometry", "space_group": "I4/mmm", "total_magnetization_mub_per_cell": 0.00, "crystal_system": "tetragonal", "n_ef_per_ev_atom": 0.868, "cell": [[-1.906, 1.906, 8.004], [1.906, -1.906, 8.004], [1.906, 1.906, -8.004]], "species": ["Sc", "Sc", "In", "In", "Rh"], "fractional_positions": [[0.090, 0.090, 0.000], [0.910, 0.910, 0.000], [0.250, 0.750, 0.500], [0.750, 0.250, 0.500], [0.500, 0.500, 0.000]]}

--- b ---
{"formula": "Sc2In2Rh", "functional": "PBE", "state": "optimized geometry", "space_group": "P4/mbm", "total_magnetization_mub_per_cell": 0.00, "crystal_system": "tetragonal", "n_ef_per_ev_atom": 0.497, "cell": [[7.156, 0.000, 0.000], [0.000, 7.156, 0.000], [0.000, 0.000, 4.154]], "species": ["Sc", "Sc", "Sc", "Sc", "In", "In", "In", "In", "Rh", "Rh"], "fractional_positions": [[0.167, 0.333, 0.000], [0.333, 0.833, 0.000], [0.667, 0.167, 0.000], [0.833, 0.667, 0.000], [0.140, 0.640, 0.500], [0.360, 0.140, 0.500], [0.640, 0.860, 0.500], [0.860, 0.360, 0.500], [0.000, 0.000, 0.500], [0.500, 0.500, 0.500]]}

Which one sits at the top of the stability order? b does.

--- a ---
{"formula": "TmScInRh", "functional": "PBE", "state": "optimized geometry", "space_group": "F-43m", "total_magnetization_mub_per_cell": 0.00, "crystal_system": "cubic", "n_ef_per_ev_atom": 0.509, "cell": [[0.000, 3.480, 3.480], [3.480, 0.000, 3.480], [3.480, 3.480, 0.000]], "species": ["Tm", "Sc", "In", "Rh"], "fractional_positions": [[0.000, 0.000, 0.000], [0.500, 0.500, 0.500], [0.750, 0.750, 0.750], [0.250, 0.250, 0.250]]}

--- b ---
{"formula": "TmScInRh", "functional": "PBE", "state": "optimized geometry", "space_group": "P4mm", "total_magnetization_mub_per_cell": 0.00, "crystal_system": "tetragonal", "n_ef_per_ev_atom": 0.386, "cell": [[3.407, 0.000, 0.000], [0.000, 3.407, 0.000], [0.000, 0.000, 7.281]], "species": ["Tm", "Sc", "In", "Rh"], "fractional_positions": [[0.000, 0.000, 0.000], [0.000, 0.000, 0.567], [0.500, 0.500, 0.301], [0.500, 0.500, 0.765]]}

Which one sits at the top of the stability order? b does.